Here is a relaxed structure of LiMnVP2O8F2 from the Alexandria database. Energies are from GGA-PBEsol.

a b c (Å): 5.115 5.167 7.219
angles (deg): 109.26 104.81 96.57
Site moments in Bohr magnetons follow the coordinates.
Positions (direct):
P 0.443 0.125 0.761  0.01
P 0.553 0.880 0.241  0.01
V 0.999 0.996 0.994  1.04
O 0.644 0.658 0.331  0.00
O 0.754 0.211 0.893  0.00
O 0.646 0.180 0.401  0.02
O 0.278 0.137 0.916  -0.02
O 0.714 0.847 0.082  -0.02
O 0.366 0.345 0.670  0.01
O 0.364 0.828 0.596  0.02
O 0.236 0.798 0.132  0.00
Mn 0.506 0.501 0.504  3.60
F 0.117 0.311 0.249  0.03
F 0.880 0.694 0.749  0.03
Li 0.920 0.560 0.168  0.00

Results
**Symmetry**: No. 1
**Energy**: -0.5546 Ry/atom